(1)
PaTiRe2: relaxed, GGA-PBE.

The structure in POSCAR format:
```
PaTiRe2
1.0
-2.965 -0.594 -3.545
0.643 -3.495 -3.014
-2.919 -3.632 -0.012
Ti Re Pa
1 2 1
Direct
0.500 0.500 0.500
0.250 0.250 0.250
0.750 0.750 0.750
0.000 0.000 0.000
```

Properties
Energy relative to the elements, eV per atom: -0.14
Energy above the most stable polymorph in this dataset, eV per atom: 0.000
VASP energy, eV/atom: -10.709

---

(2)
La2MgPb: relaxed, GGA-PBE.

The structure in POSCAR format:
```
La2MgPb
1.0
3.690 0.000 0.000
0.000 4.823 0.000
0.000 0.000 6.948
La Pb Mg
2 1 1
Direct
0.500 0.500 0.250
0.000 0.000 0.005
0.500 0.500 0.743
0.000 0.000 0.501
```

Properties
Energy relative to the elements, eV per atom: -0.19
VASP energy, eV/atom: -3.979

---

(3)
AcZn3Ni2: relaxed, GGA-PBE.

The structure in POSCAR format:
```
AcZn3Ni2
1.0
4.086 0.000 0.000
0.000 4.715 -2.715
0.000 -0.007 5.440
Zn Ni Ac
3 2 1
Direct
0.500 0.001 0.500
0.500 0.501 0.000
0.500 0.501 0.500
0.000 0.335 0.667
0.000 0.668 0.333
0.000 0.001 0.000
```

Properties
Energy relative to the elements, eV per atom: -0.30
Energy above the most stable polymorph in this dataset, eV per atom: 0.000
VASP energy, eV/atom: -3.550

---

(4)
Ag2C: relaxed, GGA-PBE.

The structure in POSCAR format:
```
Ag2C
1.0
4.648 6.735 -5.421
-5.696 -7.970 0.610
-2.155 1.546 0.073
C Ag
2 4
Direct
0.500 0.500 0.250
0.500 0.500 0.750
0.931 0.570 0.250
0.430 0.069 0.750
0.069 0.430 0.750
0.570 0.931 0.250
```

Properties
Energy relative to the elements, eV per atom: 0.63
Energy above the most stable polymorph in this dataset, eV per atom: 0.000
VASP energy, eV/atom: -4.349

---

(5)
K3Hf3TiTe8: relaxed, GGA-PBE.

The structure in POSCAR format:
```
K3Hf3TiTe8
1.0
8.172 -0.001 -0.001
-4.087 7.080 -0.036
0.000 -4.680 8.582
Te Hf Ti K
8 3 1 3
Direct
0.266 0.034 0.303
0.266 0.532 0.299
0.231 0.966 0.697
0.734 0.468 0.701
0.231 0.463 0.697
0.769 0.537 0.303
0.769 0.034 0.303
0.734 0.966 0.697
0.500 0.000 0.500
0.000 0.500 0.500
0.500 0.500 0.500
0.000 0.000 0.500
0.000 0.500 0.000
0.000 0.000 0.000
0.500 0.500 0.000
```

Properties
Energy relative to the elements, uncorrected, eV/atom: -0.88
VASP energy, eV/atom: -5.296

---

(6)
Pm2SmC: relaxed, GGA-PBE.

The structure in POSCAR format:
```
Pm2SmC
1.0
-2.367 0.192 4.596
-2.958 -6.577 -1.248
6.598 -1.031 0.529
Pm C Sm
4 2 2
Direct
0.852 0.426 0.705
0.852 0.926 0.705
0.148 0.574 0.295
0.148 0.074 0.295
0.000 0.250 0.000
0.000 0.750 0.000
0.500 0.250 0.000
0.500 0.750 0.000
```

Properties
Energy relative to the elements, eV per atom: -0.03
Energy above the most stable polymorph in this dataset, eV per atom: 0.000
VASP energy, eV/atom: -5.892

---

(7)
Y4SbSeS2: relaxed, GGA-PBE.

The structure in POSCAR format:
```
Y4SbSeS2
1.0
-3.424 3.867 6.332
-6.221 -5.297 -0.128
7.702 -2.729 0.536
Sb Se S Y
2 2 4 8
Direct
0.000 0.000 0.000
0.500 0.500 0.500
0.000 0.500 0.000
0.000 0.500 0.500
0.500 0.000 0.000
0.500 0.500 0.000
0.500 0.000 0.500
0.000 0.000 0.500
0.274 0.753 0.013
0.257 0.243 0.522
0.743 0.757 0.022
0.743 0.757 0.478
0.257 0.243 0.978
0.726 0.247 0.987
0.253 0.774 0.513
0.747 0.226 0.487
```

Properties
Energy relative to the elements, uncorrected, eV/atom: -1.71
VASP energy, eV/atom: -6.928

---

(8)
CrInFe2: relaxed, GGA-PBE.

The structure in POSCAR format:
```
CrInFe2
1.0
-3.474 3.081 1.825
-1.256 -2.524 -4.117
-1.612 -1.782 1.079
Cr Fe In
1 2 1
Direct
0.000 0.500 0.500
0.500 0.500 0.000
0.000 0.000 0.000
0.500 0.000 0.500
```

Properties
Energy relative to the elements, eV per atom: 0.46
VASP energy, eV/atom: -6.864

---

(9)
ReNiCl2: relaxed, GGA-PBE.

The structure in POSCAR format:
```
ReNiCl2
1.0
-3.828 -2.343 0.544
-0.528 -2.660 3.617
-2.918 1.160 3.252
Cl Re Ni
2 1 1
Direct
0.250 0.250 0.250
0.000 0.000 0.000
0.750 0.750 0.750
0.500 0.500 0.500
```

Properties
Energy above the most stable polymorph in this dataset, eV per atom: 1.191
Energy relative to the elements, uncorrected, eV/atom: 1.26
VASP energy, eV/atom: -4.218

---

(10)
Ba2PrErSe4: relaxed, GGA-PBE.

The structure in POSCAR format:
```
Ba2PrErSe4
1.0
4.344 0.000 0.000
0.000 7.531 0.133
0.000 -2.634 7.357
Se Pr Ba Er
4 1 2 1
Direct
0.000 0.751 0.219
0.500 0.228 0.213
0.500 0.772 0.787
0.000 0.249 0.781
0.500 0.500 0.000
0.000 0.500 0.500
0.500 0.000 0.500
0.000 0.000 0.000
```

Properties
Energy relative to the elements, uncorrected, eV/atom: -1.88
VASP energy, eV/atom: -5.271

---

(11)
Ba3Ac5Ga12: relaxed, GGA-PBE.

The structure in POSCAR format:
```
Ba3Ac5Ga12
1.0
15.849 0.000 0.000
-5.283 14.943 0.000
-5.283 -7.472 12.941
Ga Ac Ba
48 20 12
Direct
0.568 0.660 0.434
0.568 0.909 0.634
0.591 0.225 0.160
0.775 0.366 0.934
0.434 0.160 0.568
0.566 0.725 0.634
0.866 0.934 0.275
0.225 0.591 0.660
0.775 0.409 0.340
0.840 0.275 0.409
0.660 0.091 0.225
0.409 0.775 0.840
0.934 0.866 0.775
0.725 0.566 0.134
0.432 0.091 0.366
0.160 0.725 0.591
0.909 0.568 0.134
0.909 0.340 0.275
0.866 0.932 0.091
0.932 0.866 0.591
0.409 0.634 0.068
0.566 0.840 0.432
0.725 0.160 0.091
0.932 0.066 0.840
0.275 0.840 0.909
0.225 0.634 0.066
0.340 0.909 0.775
0.840 0.566 0.932
0.366 0.775 0.434
0.134 0.068 0.909
0.434 0.275 0.366
0.432 0.340 0.566
0.660 0.568 0.934
0.366 0.591 0.432
0.634 0.225 0.566
0.091 0.432 0.866
0.591 0.366 0.932
0.068 0.134 0.409
0.160 0.434 0.068
0.340 0.432 0.066
0.934 0.068 0.660
0.066 0.134 0.225
0.066 0.932 0.340
0.134 0.066 0.725
0.275 0.434 0.866
0.634 0.409 0.568
0.068 0.934 0.160
0.091 0.660 0.725
0.000 0.000 0.000
0.500 0.000 0.000
0.625 0.875 0.250
0.000 0.000 0.500
0.750 0.125 0.875
0.500 0.000 0.500
0.375 0.125 0.750
0.500 0.500 0.000
0.625 0.750 0.875
0.125 0.750 0.375
0.000 0.500 0.000
0.750 0.625 0.375
0.875 0.250 0.625
0.250 0.375 0.625
0.875 0.625 0.750
0.375 0.250 0.125
0.125 0.375 0.250
0.500 0.500 0.500
0.250 0.875 0.125
0.000 0.500 0.500
0.375 0.750 0.625
0.125 0.250 0.875
0.125 0.875 0.750
0.250 0.625 0.875
0.625 0.250 0.375
0.625 0.375 0.750
0.375 0.625 0.250
0.875 0.750 0.125
0.875 0.125 0.250
0.750 0.375 0.125
0.250 0.125 0.375
0.750 0.875 0.625
```

Properties
Energy relative to the elements, eV per atom: 0.08
VASP energy, eV/atom: -3.053

---

(12)
CsRe2Te: relaxed, GGA-PBE.

The structure in POSCAR format:
```
CsRe2Te
1.0
-2.752 -1.172 1.319
1.547 -2.898 -3.397
9.905 -6.759 10.770
Cs Re Te
2 4 2
Direct
0.333 0.810 0.158
0.883 0.237 0.859
0.421 0.632 0.528
0.184 0.082 0.607
0.916 0.743 0.403
0.678 0.189 0.483
0.511 0.653 0.695
0.158 0.302 0.324
```

Properties
Energy relative to the elements, uncorrected, eV/atom: 0.31
VASP energy, eV/atom: -6.916

---

(13)
Ti2Cr2Hg: relaxed, GGA-PBE.

The structure in POSCAR format:
```
Ti2Cr2Hg
1.0
-5.383 4.202 1.692
-4.208 -3.665 -4.285
-0.755 -1.930 2.392
Hg Ti Cr
2 4 4
Direct
0.500 0.500 0.000
0.000 0.000 0.000
0.810 0.310 0.500
0.190 0.690 0.500
0.690 0.810 0.500
0.310 0.190 0.500
0.400 0.900 0.000
0.900 0.600 0.000
0.600 0.100 0.000
0.100 0.400 0.000
```

Properties
Energy relative to the elements, eV per atom: 0.14
VASP energy, eV/atom: -6.927

---

(14)
PmYAs2O8: relaxed, GGA-PBE.

The structure in POSCAR format:
```
PmYAs2O8
1.0
-1.893 3.212 3.480
-4.369 -2.632 0.053
5.195 -3.631 2.440
Y O As Pm
1 8 2 1
Direct
0.000 0.000 0.000
0.429 0.327 0.154
0.580 0.689 0.659
0.311 0.921 0.341
0.079 0.971 0.659
0.029 0.420 0.341
0.673 0.274 0.846
0.172 0.571 0.846
0.726 0.828 0.154
0.500 0.500 0.000
0.250 0.750 0.500
0.750 0.250 0.500
```

Properties
Energy relative to the elements, uncorrected, eV/atom: -2.33
VASP energy, eV/atom: -7.347

---

(15)
PmAl6Ir3: relaxed, GGA-PBE.

The structure in POSCAR format:
```
PmAl6Ir3
1.0
-2.863 2.014 2.418
-6.218 -3.735 -4.251
-0.428 -7.733 5.936
Ir Pm Al
6 2 12
Direct
0.750 0.164 0.125
0.750 0.729 0.512
0.250 0.836 0.875
0.250 0.271 0.488
0.750 0.373 0.850
0.250 0.627 0.150
0.250 0.951 0.296
0.750 0.049 0.704
0.750 0.199 0.379
0.250 0.801 0.621
0.750 0.431 0.577
0.750 0.872 0.026
0.250 0.315 0.733
0.750 0.466 0.086
0.750 0.685 0.267
0.250 0.128 0.974
0.250 0.569 0.423
0.750 0.677 0.780
0.250 0.534 0.914
0.250 0.323 0.220
```

Properties
Energy relative to the elements, eV per atom: -0.77
VASP energy, eV/atom: -6.147

---

(16)
Ac12Ag5Pt3: relaxed, GGA-PBE.

The structure in POSCAR format:
```
Ac12Ag5Pt3
1.0
-13.162 6.626 -5.992
6.240 -9.997 -10.685
-3.655 -8.007 13.251
Ag Ac Pt
20 48 12
Direct
0.250 0.375 0.625
0.625 0.750 0.875
0.875 0.625 0.750
0.500 0.500 0.000
0.375 0.125 0.750
0.000 0.000 0.000
0.750 0.125 0.875
0.500 0.000 0.500
0.000 0.000 0.500
0.625 0.875 0.250
0.125 0.375 0.250
0.000 0.500 0.000
0.125 0.750 0.375
0.250 0.875 0.125
0.375 0.250 0.125
0.750 0.625 0.375
0.875 0.250 0.625
0.000 0.500 0.500
0.500 0.500 0.500
0.500 0.000 0.000
0.229 0.558 0.631
0.771 0.329 0.902
0.558 0.229 0.131
0.369 0.942 0.771
0.671 0.442 0.573
0.229 0.671 0.098
0.927 0.829 0.558
0.171 0.073 0.942
0.131 0.729 0.558
0.729 0.131 0.058
0.073 0.171 0.442
0.598 0.869 0.427
0.369 0.427 0.098
0.942 0.573 0.171
0.829 0.927 0.058
0.427 0.058 0.329
0.058 0.631 0.729
0.073 0.902 0.131
0.098 0.927 0.369
0.829 0.902 0.271
0.427 0.369 0.598
0.631 0.573 0.902
0.942 0.369 0.271
0.927 0.098 0.869
0.902 0.073 0.631
0.131 0.402 0.073
0.598 0.729 0.671
0.098 0.171 0.229
0.329 0.558 0.427
0.771 0.442 0.369
0.271 0.402 0.829
0.631 0.058 0.229
0.058 0.427 0.829
0.869 0.598 0.927
0.171 0.098 0.729
0.329 0.771 0.402
0.573 0.631 0.402
0.442 0.771 0.869
0.402 0.131 0.573
0.558 0.329 0.927
0.573 0.942 0.671
0.869 0.271 0.442
0.729 0.598 0.171
0.271 0.869 0.942
0.402 0.271 0.329
0.671 0.229 0.598
0.902 0.829 0.771
0.442 0.671 0.073
0.875 0.750 0.125
0.625 0.375 0.750
0.375 0.750 0.625
0.750 0.375 0.125
0.875 0.125 0.250
0.125 0.250 0.875
0.250 0.625 0.875
0.250 0.125 0.375
0.125 0.875 0.750
0.625 0.250 0.375
0.375 0.625 0.250
0.750 0.875 0.625
```

Properties
Energy relative to the elements, eV per atom: -0.09
VASP energy, eV/atom: -4.176

---

(17)
ScCrMo3: relaxed, GGA-PBE.

The structure in POSCAR format:
```
ScCrMo3
1.0
-2.486 3.656 1.030
-2.197 -2.388 3.174
3.098 1.240 3.078
Mo Sc Cr
3 1 1
Direct
0.000 0.000 0.500
0.500 0.000 0.000
0.000 0.500 0.000
0.500 0.500 0.500
0.000 0.000 0.000
```

Properties
Energy relative to the elements, eV per atom: 0.86
Energy above the most stable polymorph in this dataset, eV per atom: 0.000
VASP energy, eV/atom: -8.826